Entry from OQMD via LeMat-Bulk: a relaxed TaCuAgSn crystal (PBE). Values from VASP.

Values from the calculation:
M_tot (μB/cell): 0.50
Energy above the lowest structure with this stoichiometry (meV/atom): 0.0
V (A^3/atom): 17.84
Final energy (eV per atom): -5.175

Quantum ESPRESSO input file:
```
&SYSTEM
  ibrav = 0, nat = 4, ntyp = 4
/
ATOMIC_SPECIES
Ta 180.95 Ta.upf
Cu 63.55 Cu.upf
Ag 107.87 Ag.upf
Sn 118.71 Sn.upf
ATOMIC_POSITIONS crystal
Ta 0.0000 0.0000 0.0000
Cu 0.5000 0.5000 0.5000
Ag 0.7500 0.7500 0.7500
Sn 0.2500 0.2500 0.2500
CELL_PARAMETERS angstrom
0.0000 3.2920 3.2920
3.2920 0.0000 3.2920
3.2920 3.2920 0.0000
```

=====

Entry from OQMD via LeMat-Bulk: a relaxed RbFePbS3 crystal (PBE). Values from VASP.

Values from the calculation:
M_tot (μB/cell): 9.95
V (A^3/atom): 28.87
Final energy (eV per atom): -4.835

Quantum ESPRESSO input file:
```
&SYSTEM
  ibrav = 0, nat = 12, ntyp = 4
/
ATOMIC_SPECIES
Rb 85.47 Rb.upf
Fe 55.84 Fe.upf
Pb 207.20 Pb.upf
S 32.06 S.upf
ATOMIC_POSITIONS crystal
Rb 0.2340 0.7660 0.7500
Rb 0.7660 0.2340 0.2500
Fe 0.0452 0.9548 0.2500
Fe 0.9548 0.0452 0.7500
Pb 0.5000 0.5000 0.0000
Pb 0.5000 0.5000 0.5000
S 0.1264 0.8736 0.0880
S 0.1264 0.8736 0.4120
S 0.4560 0.5440 0.2500
S 0.5440 0.4560 0.7500
S 0.8736 0.1264 0.5880
S 0.8736 0.1264 0.9120
CELL_PARAMETERS angstrom
2.0415 -7.3701 0.0000
2.0415 7.3701 0.0000
0.0000 0.0000 11.5105
```

=====

Entry from OQMD via LeMat-Bulk: a relaxed ZrMo crystal (PBE). Values from VASP.

Values from the calculation:
M_tot (μB/cell): 0.01
Formation enthalpy at 0 K (eV per atom): 0.048
Energy above the lowest structure with this stoichiometry (meV/atom): 39.3
V (A^3/atom): 18.87
Final energy (eV per atom): -9.650

Quantum ESPRESSO input file:
```
&SYSTEM
  ibrav = 0, nat = 12, ntyp = 2
/
ATOMIC_SPECIES
Zr 91.22 Zr.upf
Mo 95.94 Mo.upf
ATOMIC_POSITIONS crystal
Zr 0.0363 0.2500 0.1726
Zr 0.3020 0.7500 0.2034
Zr 0.4465 0.7500 0.8234
Zr 0.5535 0.2500 0.1766
Zr 0.6980 0.2500 0.7966
Zr 0.9637 0.7500 0.8274
Mo 0.1141 0.7500 0.4957
Mo 0.2024 0.2500 0.8030
Mo 0.3664 0.2500 0.5028
Mo 0.6336 0.7500 0.4972
Mo 0.7976 0.7500 0.1970
Mo 0.8859 0.2500 0.5043
CELL_PARAMETERS angstrom
6.6503 0.0000 0.0000
0.0000 4.8893 0.0000
-1.6235 0.0000 6.9656
```

=====

Q: The lowest M_tot belongs to which entry?
A: ZrMo